DFT (PBE-GGA) results for a geometry-optimized CaPmTlCd structure.

Cell lengths 7.706, 7.706, 7.706 Å; angles 90.00, 90.00, 90.00 degrees
Element x y z (fractional)
Ca 0.000 0.000 0.000
Ca 0.000 0.500 0.500
Ca 0.500 0.000 0.500
Ca 0.500 0.500 0.000
Pm 0.000 0.000 0.500
Pm 0.000 0.500 0.000
Pm 0.500 0.000 0.000
Pm 0.500 0.500 0.500
Tl 0.250 0.250 0.250
Tl 0.250 0.750 0.750
Tl 0.750 0.250 0.750
Tl 0.750 0.750 0.250
Cd 0.250 0.250 0.750
Cd 0.250 0.750 0.250
Cd 0.750 0.250 0.250
Cd 0.750 0.750 0.750

## Properties
Calculated formation energy: -0.41 eV/atom
Spin magnetization: 0.0 μB per cell
DOS at the Fermi energy: 0.4196 states/eV per atom
Space-group type: No. 216

=====

DFT (PBE-GGA) results for a geometry-optimized Ca2Ac7Sm2 structure.

Cell lengths 7.092, 7.092, 9.597 Å; angles 97.72, 97.72, 93.42 degrees
Element x y z (fractional)
Ca 0.095 0.095 0.351
Ca 0.905 0.905 0.649
Ac 0.061 0.430 0.716
Ac 0.354 0.354 0.093
Ac 0.430 0.061 0.716
Ac 0.500 0.500 0.500
Ac 0.570 0.939 0.284
Ac 0.646 0.646 0.907
Ac 0.939 0.570 0.284
Sm 0.169 0.831 0.000
Sm 0.831 0.169 0.000

## Properties
Calculated formation energy: 0.13 eV/atom
Spin magnetization: 0.0 μB per cell
DOS at the Fermi energy: 1.7827 states/eV per atom
Space-group type: No. 12

=====

DFT (PBE-GGA) results for a geometry-optimized CePaFeN3 structure.

Cell lengths 7.183, 3.393, 7.229 Å; angles 90.00, 99.80, 90.00 degrees
Element x y z (fractional)
Ce 0.201 0.250 0.159
Ce 0.799 0.750 0.841
Pa 0.183 0.250 0.657
Pa 0.817 0.750 0.343
Fe 0.422 0.750 0.904
Fe 0.578 0.250 0.096
N 0.136 0.750 0.424
N 0.139 0.750 0.876
N 0.466 0.750 0.170
N 0.534 0.250 0.830
N 0.861 0.250 0.124
N 0.864 0.250 0.576

## Properties
ΔE_f (raw): -1.145 eV/atom
Spin magnetization: 1.0 μB per cell
DOS at the Fermi energy: 0.5960 states/eV per atom
Space-group type: No. 11